## NpTl4S4 (PBE)

Data for NpTl4S4 after structural relaxation.

Unit cell a=14.359 b=4.115 c=10.609 alpha=90.00 beta=121.34 gamma=90.00
Space group C2/m (No. 12)
Asymmetric unit:
Np: 0.000 0.000 0.000 x2
Tl: 0.084 0.500 0.390 x4
Tl: 0.200 0.000 0.777 x4
S: 0.094 0.500 0.937 x4
S: 0.167 0.000 0.279 x4

Density = 7.3 g/cm3
Uncorrected formation energy = -0.708 eV/atom
Calculated total energy = -5.03 eV/atom

=====

## LiYC (PBE)

Data for LiYC after structural relaxation.

Unit cell a=13.094 b=3.665 c=4.347 alpha=90.00 beta=108.85 gamma=90.00
Space group Cm (No. 8)
Asymmetric unit:
Li: 0.000 0.000 0.000 x2
Li: 0.176 0.000 0.188 x2
Y: 0.266 0.500 0.776 x2
Y: 0.483 0.000 0.487 x2
C: 0.114 0.000 0.622 x2
C: 0.395 0.000 0.901 x2

Density = 3.6 g/cm3
Energy relative to the elements = 67 meV per atom
Energy above the most stable polymorph in this dataset = 202 meV/atom
Calculated total energy = -5.80 eV/atom

=====

## PmCdCuP (PBE)

Data for PmCdCuP after structural relaxation.

Unit cell a=6.876 b=6.876 c=6.876 alpha=90.00 beta=90.00 gamma=90.00
Space group F-43m (No. 216)
Asymmetric unit:
Pm: 0.000 0.000 0.000 x4
Cd: 0.000 0.000 0.500 x4
Cu: 0.250 0.250 0.750 x4
P: 0.250 0.250 0.250 x4

Density = 7.2 g/cm3
Energy relative to the elements = -261 meV per atom
Calculated total energy = -4.05 eV/atom

=====

## In2SnI8 (PBE)

Data for In2SnI8 after structural relaxation.

Unit cell a=21.573 b=9.913 c=14.419 alpha=90.00 beta=131.32 gamma=90.00
Space group C2/c (No. 15)
Asymmetric unit:
In: 0.091 0.243 0.038 x8
Sn: 0.000 0.500 0.250 x4
I: 0.072 0.278 0.685 x8
I: 0.097 0.250 0.236 x8
I: 0.160 0.011 0.046 x8
I: 0.166 0.471 0.035 x8

Density = 3.9 g/cm3
Energy above the most stable polymorph in this dataset = 0 meV/atom
Uncorrected formation energy = -0.500 eV/atom
Calculated total energy = -2.49 eV/atom

=====

## BaNbPBr2 (PBE)

Data for BaNbPBr2 after structural relaxation.

Unit cell a=5.287 b=5.287 c=6.218 alpha=90.00 beta=90.00 gamma=90.00
Space group P4/mmm (No. 123)
Asymmetric unit:
Ba: 0.000 0.000 0.000 x1
Nb: 0.500 0.500 0.000 x1
P: 0.000 0.000 0.500 x1
Br: 0.000 0.500 0.500 x2

Density = 4.0 g/cm3
Uncorrected formation energy = 0.671 eV/atom
Calculated total energy = -3.48 eV/atom

=====

## Cs3Rb2RhO6 (PBE)

Data for Cs3Rb2RhO6 after structural relaxation.

Unit cell a=6.814 b=11.809 c=6.759 alpha=90.00 beta=109.91 gamma=90.00
Space group C2/m (No. 12)
Asymmetric unit:
Cs: 0.000 0.000 0.000 x2
Cs: 0.000 0.336 0.000 x4
Rb: 0.000 0.168 0.500 x4
Rh: 0.000 0.500 0.500 x2
O: 0.176 0.500 0.319 x4
O: 0.180 0.382 0.679 x8

Density = 5.0 g/cm3
Uncorrected formation energy = -0.972 eV/atom
Calculated total energy = -4.44 eV/atom